A plane-wave DFT calculation with PBE-GGA was carried out for a geometry-optimized Tb3CeHo4 structure.

Calculated values
* symmetry: Pmn2_1, No. 31
* density of states at the Fermi level: 31.5 states/eV per cell
* offset from the most stable computed form: 0.0 meV/atom
* calculated formation energy: 0.040 eV per atom
* magnetic moment: 2.809 Bohr magnetons per cell

a = 6.2341 Å, b = 7.2092 Å, c = 11.3002 Å
α = 90.00°, β = 90.00°, γ = 90.00°
Site moments in Bohr magnetons follow the coordinates.
Element x y z (fractional)
Tb 0.1490 0.3766 0.5000  0.02
Ho 0.4835 0.8741 0.2503  0.05
Tb 0.4793 0.3748 0.7501  0.06
Ho 0.9835 0.1259 0.2497  0.05
Ce 0.6473 0.6236 0.5000  0.76
Ho 0.4835 0.8741 0.7497  0.05
Ho 0.1476 0.8742 0.5000  0.05
Ho 0.6459 0.1240 0.5000  0.06
Tb 0.9793 0.6252 0.7499  0.06
Tb 0.6490 0.6234 0.0000  0.02
Tb 0.4793 0.3748 0.2499  0.06
Tb 0.9793 0.6252 0.2501  0.06
Ho 0.1459 0.8760 0.0000  0.06
Ho 0.9835 0.1259 0.7503  0.05
Ho 0.6476 0.1258 0.0000  0.05
Ce 0.1473 0.3764 0.0000  0.76

A plane-wave DFT calculation with PBE-GGA was carried out for a geometry-optimized BaYBr2 structure.

Calculated values
* symmetry: Pmmm, No. 47
* density of states at the Fermi level: 2.6 states/eV per cell
* offset from the most stable computed form: 45.9 meV/atom
* magnetic moment: 0.000 Bohr magnetons per cell
* uncorrected formation energy: -1.169 eV per atom

a = 4.6953 Å, b = 3.9770 Å, c = 7.0922 Å
α = 89.95°, β = 90.00°, γ = 90.00°
Element x y z (fractional)
Br 0.0000 0.2510 0.5066
Ba 0.5000 0.7500 0.7500
Y 0.5000 0.2500 0.2500
Br 0.0000 0.2490 0.9934

A plane-wave DFT calculation with PBE-GGA was carried out for a geometry-optimized Ba2NaGa3Pt4 structure.

Calculated values
* symmetry: P-4m2, No. 115
* density of states at the Fermi level: 4.2 states/eV per cell
* calculated formation energy: -0.701 eV per atom
* magnetic moment: 0.000 Bohr magnetons per cell

a = 4.5061 Å, b = 4.5061 Å, c = 10.9327 Å
α = 90.00°, β = 90.00°, γ = 90.00°
Element x y z (fractional)
Na 0.5000 0.5000 0.5000
Ba 0.5000 0.0000 0.2449
Ga 0.5000 0.0000 0.8866
Ba 0.0000 0.5000 0.7551
Pt 0.0000 0.0000 0.0000
Pt 0.5000 0.5000 0.0000
Ga 0.0000 0.5000 0.1134
Pt 0.5000 0.0000 0.6492
Pt 0.0000 0.5000 0.3508
Ga 0.0000 0.0000 0.5000

A plane-wave DFT calculation with PBE-GGA was carried out for a geometry-optimized Ba2VSb2H4 structure.

Calculated values
* symmetry: I4/mmm, No. 139
* raw total energy: -4.03 eV per atom
* density of states at the Fermi level: 2.7 states/eV per cell
* magnetic moment: 1.331 Bohr magnetons per cell

a = 6.3015 Å, b = 6.3015 Å, c = 6.3015 Å
α = 100.92°, β = 113.91°, γ = 113.91°
Site moments in Bohr magnetons follow the coordinates.
Element x y z (fractional)
Ba 0.5000 0.2500 0.7500  -0.01
H 0.0000 0.1857 0.8143  -0.02
H 0.0000 0.8143 0.1857  -0.02
Sb 0.0000 0.3297 0.3297  -0.09
H 0.6285 0.8143 0.8143  -0.02
V 0.0000 0.0000 0.0000  1.62
H 0.3715 0.1857 0.1857  -0.02
Ba 0.5000 0.7500 0.2500  -0.01
Sb 0.0000 0.6703 0.6703  -0.09

A plane-wave DFT calculation with PBE-GGA was carried out for a geometry-optimized SrY2Mn2 structure.

Calculated values
* symmetry: P4/mbm, No. 127
* density of states at the Fermi level: 14.6 states/eV per cell
* calculated formation energy: 0.290 eV per atom
* magnetic moment: 11.114 Bohr magnetons per cell

a = 8.5457 Å, b = 8.5457 Å, c = 3.6932 Å
α = 90.00°, β = 90.00°, γ = 90.00°
Site moments in Bohr magnetons follow the coordinates.
Element x y z (fractional)
Y 0.1626 0.6626 0.5000  -0.34
Mn 0.6152 0.1152 0.0000  3.42
Mn 0.1152 0.3848 0.0000  3.43
Sr 0.5000 0.5000 0.0000  -0.10
Y 0.3374 0.1626 0.5000  -0.33
Y 0.6626 0.8374 0.5000  -0.33
Mn 0.3848 0.8848 0.0000  3.42
Y 0.8374 0.3374 0.5000  -0.34
Mn 0.8848 0.6152 0.0000  3.43
Sr 0.0000 0.0000 0.0000  -0.10

A plane-wave DFT calculation with PBE-GGA was carried out for a geometry-optimized HfMoRu2 structure.

Calculated values
* symmetry: I-42d, No. 122
* density of states at the Fermi level: 4.7 states/eV per cell
* offset from the most stable computed form: 534.5 meV/atom
* calculated formation energy: 0.310 eV per atom
* magnetic moment: 0.000 Bohr magnetons per cell

a = 7.0667 Å, b = 7.0667 Å, c = 5.7316 Å
α = 51.94°, β = 51.94°, γ = 90.00°
Element x y z (fractional)
Ru 0.3750 0.4056 0.7500
Ru 0.1556 0.6250 0.2500
Hf 0.7500 0.2500 0.5000
Mo 0.5000 0.5000 0.0000
Ru 0.8750 0.8444 0.7500
Ru 0.5944 0.1250 0.2500
Mo 0.2500 0.7500 0.5000
Hf 0.0000 0.0000 0.0000

A plane-wave DFT calculation with PBE-GGA was carried out for a geometry-optimized RbZnFeH6 structure.

Calculated values
* symmetry: Amm2, No. 38
* raw total energy: -3.47 eV per atom
* density of states at the Fermi level: 1.9 states/eV per cell
* magnetic moment: 1.002 Bohr magnetons per cell

a = 4.5402 Å, b = 4.6509 Å, c = 5.6280 Å
α = 89.99°, β = 90.00°, γ = 59.21°
Site moments in Bohr magnetons follow the coordinates.
Element x y z (fractional)
H 0.0501 0.4756 0.3111  0.00
H 0.4738 0.0394 0.6937  -0.01
H 0.4725 0.4872 0.3065  -0.01
Rb 0.9962 0.0023 0.0000  0.00
Fe 0.3462 0.3265 0.5000  0.95
H 0.4719 0.4878 0.6935  -0.01
H 0.0501 0.4749 0.6889  0.00
H 0.4731 0.0395 0.3063  -0.01
Zn 0.6659 0.6669 0.5000  -0.01

A plane-wave DFT calculation with PBE-GGA was carried out for a geometry-optimized Mg2ZrScMo structure.

Calculated values
* symmetry: P4/mmm, No. 123
* density of states at the Fermi level: 6.2 states/eV per cell
* calculated formation energy: 0.696 eV per atom
* magnetic moment: 0.000 Bohr magnetons per cell

a = 5.1698 Å, b = 4.8379 Å, c = 5.1698 Å
α = 90.00°, β = 90.00°, γ = 90.00°
Element x y z (fractional)
Mg 0.5000 0.0000 0.0000
Sc 0.5000 0.5000 0.5000
Zr 0.0000 0.5000 0.0000
Mo 0.0000 0.0000 0.0000
Mg 0.0000 0.0000 0.5000

A plane-wave DFT calculation with PBE-GGA was carried out for a geometry-optimized Ba2LiBiO5 structure.

Calculated values
* symmetry: Cmc2_1, No. 36
* density of states at the Fermi level: 3.4 states/eV per cell
* magnetic moment: 0.167 Bohr magnetons per cell
* uncorrected formation energy: -1.844 eV per atom

a = 3.5273 Å, b = 8.0809 Å, c = 10.9442 Å
α = 90.00°, β = 90.00°, γ = 102.61°
Site moments in Bohr magnetons follow the coordinates.
Element x y z (fractional)
O 0.4946 0.9893 0.2925  0.05
O 0.9170 0.8340 0.5232  0.00
O 0.7040 0.4080 0.8827  0.00
O 0.5054 0.0107 0.7925  0.05
Ba 0.1155 0.2309 0.3058  0.00
O 0.2824 0.5648 0.6450  0.00
Li 0.4414 0.8829 0.4515  0.00
Bi 0.2140 0.4280 0.0137  0.00
Li 0.5586 0.1171 0.9515  0.00
O 0.7176 0.4352 0.1450  0.00
Ba 0.8845 0.7691 0.8058  0.00
O 0.0830 0.1660 0.0232  0.00
O 0.3462 0.6923 0.0041  0.00
O 0.6538 0.3077 0.5041  0.00
Bi 0.7860 0.5720 0.5137  0.00
O 0.2960 0.5920 0.3827  0.00
Ba 0.1099 0.2199 0.7056  0.00
Ba 0.8901 0.7801 0.2056  0.00

A plane-wave DFT calculation with PBE-GGA was carried out for a geometry-optimized Dy2ErNpS6 structure.

Calculated values
* symmetry: R3, No. 146
* density of states at the Fermi level: 6.4 states/eV per cell
* magnetic moment: 4.000 Bohr magnetons per cell
* uncorrected formation energy: -1.846 eV per atom

a = 6.9214 Å, b = 6.9214 Å, c = 7.3748 Å
α = 62.01°, β = 62.01°, γ = 60.00°
Site moments in Bohr magnetons follow the coordinates.
Element x y z (fractional)
S 0.7166 0.1225 0.7521  -0.02
Np 0.8147 0.8146 0.5561  3.84
S 0.1225 0.4088 0.7521  -0.02
S 0.9192 0.6121 0.2498  -0.02
S 0.4088 0.7166 0.7521  -0.02
S 0.6121 0.2189 0.2498  -0.02
Dy 0.5174 0.5174 0.4479  0.03
Er 0.3169 0.3169 0.0492  0.03
S 0.2189 0.9192 0.2498  -0.02
Dy 0.0146 0.0146 0.9563  0.04

A plane-wave DFT calculation with PBE-GGA was carried out for a geometry-optimized CeGa2Co structure.

Calculated values
* symmetry: R-3m, No. 166
* density of states at the Fermi level: 5.1 states/eV per cell
* calculated formation energy: -0.100 eV per atom
* magnetic moment: 1.174 Bohr magnetons per cell

a = 2.9903 Å, b = 2.9903 Å, c = 9.1153 Å
α = 80.56°, β = 80.56°, γ = 60.00°
Site moments in Bohr magnetons follow the coordinates.
Element x y z (fractional)
Co 0.0000 0.0000 0.0000  0.84
Ce 0.5000 0.5000 0.5000  0.27
Ga 0.7331 0.7331 0.8006  -0.01
Ga 0.2669 0.2669 0.1994  -0.01

A plane-wave DFT calculation with PBE-GGA was carried out for a geometry-optimized KRbBa2 structure.

Calculated values
* symmetry: P4/mmm, No. 123
* density of states at the Fermi level: 4.4 states/eV per cell
* offset from the most stable computed form: 26.9 meV/atom
* calculated formation energy: 0.132 eV per atom
* magnetic moment: 0.000 Bohr magnetons per cell

a = 7.3189 Å, b = 6.2274 Å, c = 6.2274 Å
α = 90.00°, β = 90.00°, γ = 90.00°
Element x y z (fractional)
Rb 0.5000 0.0000 0.0000
Ba 0.0000 0.5000 0.0000
Ba 0.0000 0.0000 0.5000
K 0.5000 0.5000 0.5000